(1)
Density functional theory data (meta-GGA SCAN) for a crystal of La3CuPb relaxed with PBEsol.

Values from the calculation:
**Space group**: Pm-3m (221)
**E**: -44.348 eV/atom

a b c (Å): 5.453 5.453 5.453
angles (deg): 90.00 90.00 90.00
Element x y z (fractional)
Cu: 0.000 0.000 0.000
Pb: 0.500 0.500 0.500
La: 0.000 0.000 0.500
La: 0.500 0.000 0.000
La: 0.000 0.500 0.000

=====

(2)
Density functional theory data (meta-GGA SCAN) for a crystal of Ba2SrTa relaxed with PBEsol.

Values from the calculation:
**Space group**: Cmm2 (35)
**E**: -41.060 eV/atom

a b c (Å): 3.558 3.558 11.683
angles (deg): 90.00 90.00 90.40
Each line ends with the local moment (μB).
Element x y z (fractional)
Ba: 0.000 0.000 0.052  0.03
Ba: 0.500 0.500 0.750  0.10
Ta: 0.500 0.500 0.252  -0.15
Sr: 0.000 0.000 0.446  0.02

=====

(3)
Density functional theory data (meta-GGA SCAN) for a crystal of Li2LaMo relaxed with PBEsol.

Values from the calculation:
**Space group**: P4mm (99)
**E**: -20.218 eV/atom

a b c (Å): 2.841 2.841 9.871
angles (deg): 90.00 90.00 90.00
Element x y z (fractional)
La: 0.500 0.500 0.730
Li: 0.500 0.500 0.265
Li: 0.000 0.000 0.031
Mo: 0.000 0.000 0.474

=====

(4)
Density functional theory data (meta-GGA SCAN) for a crystal of Sc2CdSbC relaxed with PBEsol.

Values from the calculation:
**Space group**: P4/mmm (123)
**E**: -21.701 eV/atom

a b c (Å): 4.403 4.555 4.555
angles (deg): 90.00 90.00 90.00
Element x y z (fractional)
Sc: 0.000 0.500 0.000
Sc: 0.000 0.000 0.500
Cd: 0.500 0.000 0.000
C: 0.000 0.000 0.000
Sb: 0.500 0.500 0.500

=====

(5)
Density functional theory data (meta-GGA SCAN) for a crystal of RbZrMn3 relaxed with PBEsol.

Values from the calculation:
**Space group**: Pm-3m (221)
**E**: -19.212 eV/atom

a b c (Å): 4.580 4.580 4.580
angles (deg): 90.00 90.00 90.00
Each line ends with the local moment (μB).
Element x y z (fractional)
Rb: 0.000 0.000 0.000  0.15
Mn: 0.000 0.500 0.000  3.75
Mn: 0.500 0.000 0.000  3.75
Mn: 0.000 0.000 0.500  3.75
Zr: 0.500 0.500 0.500  -0.77

=====

(6)
Density functional theory data (meta-GGA SCAN) for a crystal of TlRuPt2 relaxed with PBEsol.

Values from the calculation:
**Space group**: I4/mmm (139)
**E**: -61.602 eV/atom

a b c (Å): 3.998 3.998 4.902
angles (deg): 114.07 114.07 90.00
Each line ends with the local moment (μB).
Element x y z (fractional)
Pt: 0.250 0.750 0.500  0.22
Pt: 0.750 0.250 0.500  0.22
Tl: 0.000 0.000 0.000  -0.03
Ru: 0.500 0.500 0.000  0.85

=====

(7)
Density functional theory data (meta-GGA SCAN) for a crystal of Fe2SiCl relaxed with PBEsol.

Values from the calculation:
**Space group**: Immm (71)
**E**: -13.146 eV/atom

a b c (Å): 2.667 4.837 4.837
angles (deg): 65.90 74.00 74.00
Each line ends with the local moment (μB).
Element x y z (fractional)
Si: 0.500 0.000 0.000  -0.12
Cl: 0.000 0.500 0.500  0.06
Fe: 0.748 0.252 0.252  2.66
Fe: 0.252 0.748 0.748  2.66

=====

(8)
Density functional theory data (meta-GGA SCAN) for a crystal of Zr2ScTe relaxed with PBEsol.

Values from the calculation:
**Space group**: P4/mmm (123)
**E**: -28.642 eV/atom

a b c (Å): 3.695 3.695 6.385
angles (deg): 90.00 90.00 90.00
Each line ends with the local moment (μB).
Element x y z (fractional)
Zr: 0.000 0.000 0.264  0.17
Zr: 0.000 0.000 0.736  0.17
Sc: 0.500 0.500 0.000  0.34
Te: 0.500 0.500 0.500  -0.03

=====

Please write out number 6 again, unchanged.
Density functional theory data (meta-GGA SCAN) for a crystal of TlRuPt2 relaxed with PBEsol.

Values from the calculation:
**Space group**: I4/mmm (139)
**E**: -61.602 eV/atom

a b c (Å): 3.998 3.998 4.902
angles (deg): 114.07 114.07 90.00
Each line ends with the local moment (μB).
Element x y z (fractional)
Pt: 0.250 0.750 0.500  0.22
Pt: 0.750 0.250 0.500  0.22
Tl: 0.000 0.000 0.000  -0.03
Ru: 0.500 0.500 0.000  0.85